6
Lattice="-1.843 2.779 6.234 1.843 -2.779 6.234 1.843 2.779 -6.234" Properties=species:S:1:pos:R:3 comment="Ho2Ge3Mo | Alexandria | PBE | optimized geometry" delta_e_f_ev_per_atom=-0.36 total_magnetization_mub_per_fu=0.00 energy_ev_per_cell=-36.001 pbc="T T T"
Ho 0.000 0.000 2.134
Ho 0.000 0.000 10.334
Ge 1.843 0.000 0.000
Ge 1.843 0.000 4.380
Ge 0.000 2.779 1.854
Mo 0.000 0.000 6.234